Below is a relaxed structure of Be2NiB, with properties calculated at the PBE level.

The space group is R-3m (No. 166, hexagonal axes) and the conventional cell measures 2.3437, 2.3437 and 21.9378 Å, with angles of 90.00, 90.00 and 120.00 degrees. Symmetry generates all atoms from Be at (0.0000, 0.0000, 0.0982), Ni at (0.0000, 0.0000, 0.0000) and B at (0.0000, 0.0000, 0.5000).

The spin magnetization is 0.00 μB/atom. As for the crystal system: trigonal. The calculation puts the calculated total energy at -4.5781 eV per atom.

---

Below is a relaxed structure of TmNpCr2S6, with properties calculated at the PBE level.

The space group is R3 (No. 146, hexagonal axes) and the conventional cell measures 6.4838, 6.4838 and 17.2276 Å, with angles of 90.00, 90.00 and 120.00 degrees. Symmetry generates all atoms from Tm at (0.0000, 0.0000, 0.0000), Np at (0.0000, 0.0000, 0.4994), Cr at (0.0000, 0.0000, 0.3032), Cr at (0.0000, 0.0000, 0.8041), S at (0.0075, 0.3884, 0.5602) and S at (0.0071, 0.6221, 0.0598).

The spin magnetization is 1.00 μB/atom. As for the crystal system: trigonal. The calculation puts the calculated total energy at -7.2734 eV per atom.

---

Below is a relaxed structure of Cr2MoPb, with properties calculated at the PBE level.

The space group is I-42d (No. 122) and the conventional cell measures 7.164, 7.164 and 5.506 Å, with angles of 90.00, 90.00 and 90.00 degrees. Symmetry generates all atoms from Cr at (0.194, 0.250, 0.125), Mo at (0.000, 0.000, 0.000) and Pb at (0.000, 0.000, 0.500).

The spin magnetization is 0.00 μB/atom. As for the crystal system: tetragonal. The calculation puts the calculated total energy at -7.3523 eV per atom.

---

Below is a relaxed structure of CaErRh4, with properties calculated at the PBE level.

The space group is F-43m (No. 216) and the conventional cell measures 7.536, 7.536 and 7.536 Å, with angles of 90.00, 90.00 and 90.00 degrees. Symmetry generates all atoms from Ca at (0.000, 0.000, 0.000), Er at (0.250, 0.250, 0.250) and Rh at (0.125, 0.125, 0.625).

The spin magnetization is 0.00 μB/atom. As for the crystal system: cubic. The calculation puts the calculated total energy at -6.6062 eV per atom.

---

Below is a relaxed structure of CdFeGeSb2, with properties calculated at the PBE level.

The space group is P4/mmm (No. 123) and the conventional cell measures 5.509, 5.509 and 5.011 Å, with angles of 90.00, 90.00 and 90.00 degrees. Symmetry generates all atoms from Cd at (0.000, 0.000, 0.000), Fe at (0.500, 0.500, 0.500), Ge at (0.000, 0.000, 0.500) and Sb at (0.000, 0.500, 0.000).

The spin magnetization is 0.66 μB/atom. As for the crystal system: tetragonal. The calculation puts the calculated total energy at -3.1645 eV per atom.

---

Below is a relaxed structure of Ta2Fe, with properties calculated at the PBE level.

The space group is P-3m1 (No. 164) and the conventional cell measures 4.4034, 4.4034 and 2.8324 Å, with angles of 90.00, 90.00 and 120.00 degrees. Symmetry generates all atoms from Ta at (0.3333, 0.6667, 0.3043) and Fe at (0.0000, 0.0000, 0.0000).

The spin magnetization is 0.30 μB/atom. As for the crystal system: trigonal. The calculation puts the calculated total energy at -10.5773 eV per atom.